(1)
Bi6OsO12 | the Open Quantum Materials Database | PBE | relaxed; E_tot = -117.237 eV/f.u.; mass density = 9531 kg/m3
1.0
5.132 2.963 3.124
-5.132 2.963 3.124
0.000 -5.926 3.124
Bi Os O
6 1 12
Cartesian
-3.608 -1.181 4.800
-0.782 -3.715 4.572
-2.827 2.534 4.572
2.827 -2.534 4.800
0.782 3.715 4.800
3.608 1.181 4.572
0.000 0.000 4.686
-3.190 -3.318 5.236
-4.469 1.104 4.136
-1.130 -1.192 3.628
1.279 -4.422 4.136
-0.467 1.574 3.628
-1.597 0.382 5.744
1.597 -0.382 3.628
0.467 -1.574 5.744
-1.279 4.422 5.236
1.130 1.192 5.744
4.469 -1.104 5.236
3.190 3.318 4.136

(2)
Rb2Nb2Pt3 | the Open Quantum Materials Database | PBE | relaxed; E_tot = -40.556 eV/f.u.; mass density = 8137 kg/m3
1.0
2.271 1.311 10.758
-2.271 1.311 10.758
0.000 -2.622 10.758
Rb Nb Pt
2 2 3
Cartesian
0.000 0.000 0.000
0.000 0.000 13.377
0.000 0.000 5.902
0.000 0.000 18.910
0.000 0.000 8.545
0.000 0.000 16.376
0.000 0.000 28.609

(3)
Er5Lu2Te2Ir2 | the Open Quantum Materials Database | PBE | relaxed; E_tot = -66.083 eV/f.u.; mass density = 10644 kg/m3
1.0
-1.954 7.776 4.687
1.954 -7.776 4.687
1.954 7.776 -4.687
Er Lu Te Ir
5 2 2 2
Cartesian
0.000 0.000 0.000
1.954 2.870 -1.208
1.954 -2.278 2.173
1.954 2.278 2.173
0.000 4.907 3.479
1.954 5.714 0.773
0.000 2.062 5.460
0.000 0.000 3.176
0.000 7.776 2.195
0.000 3.718 0.669
0.000 11.835 0.669

(4)
MgBe2Au | the Open Quantum Materials Database | PBE | relaxed; E_tot = -12.060 eV/f.u.; mass density = 7389 kg/m3
1.0
0.000 2.996 2.996
2.996 0.000 2.996
2.996 2.996 0.000
Mg Be Au
1 2 1
Cartesian
0.000 0.000 0.000
2.996 2.996 2.996
4.494 4.494 4.494
1.498 1.498 1.498